# GGA-PBE MnBAu2N, relaxed
data_MnBAu2N
_chemical_formula_sum 'Mn1 B1 Au2 N1'
_space_group_name_H-M_alt 'P 1'
_space_group_IT_number 1
_cell_length_a 4.977
_cell_length_b 4.977
_cell_length_c 3.966
_cell_angle_alpha 90.00
_cell_angle_beta 90.00
_cell_angle_gamma 90.00
loop_
_space_group_symop_operation_xyz
'x,y,z'
loop_
_atom_site_label
_atom_site_fract_x
_atom_site_fract_y
_atom_site_fract_z
Mn1 0.000 0.000 0.000
B1 0.000 0.000 0.500
Au1 0.000 0.500 0.000
Au2 0.500 0.000 0.000
N1 0.500 0.500 0.500
# final energy: -4.116 eV per atom
# formation energy (no corrections): 195.8 kJ per mole of atoms
# DOS(E_F): 3.95 states/eV per cell
# density: 8.0 g/cm3